# Ca2MnMo PBE relaxed
data_Ca2MnMo
_symmetry_space_group_name_H-M 'P 1'
_symmetry_Int_Tables_number 1
_cell_length_a 5.751
_cell_length_b 5.751
_cell_length_c 5.751
_cell_angle_alpha 135.73
_cell_angle_beta 135.73
_cell_angle_gamma 64.40
loop_
_symmetry_equiv_pos_as_xyz
'x,y,z'
loop_
_atom_site_label
_atom_site_fract_x
_atom_site_fract_y
_atom_site_fract_z
Mo1 0.750 0.250 0.500
Mn1 0.250 0.750 0.500
Ca1 0.000 0.000 0.000
Ca2 0.500 0.500 0.000
# E: -20.6 eV for the cell shown
# Total moment: 2.037 μB per cell
# D(E_F): 3.86 states/eV/cell
# Excess energy over the best structure of this formula in the dataset: 490 meV per atom

***

# K2ZnPt3 PBE relaxed
data_K2ZnPt3
_symmetry_space_group_name_H-M 'P 1'
_symmetry_Int_Tables_number 1
_cell_length_a 5.618
_cell_length_b 5.618
_cell_length_c 5.482
_cell_angle_alpha 89.98
_cell_angle_beta 120.93
_cell_angle_gamma 119.92
loop_
_symmetry_equiv_pos_as_xyz
'x,y,z'
loop_
_atom_site_label
_atom_site_fract_x
_atom_site_fract_y
_atom_site_fract_z
K1 0.755 0.378 0.133
K2 0.245 0.622 0.867
Zn1 0.000 0.000 0.000
Pt1 0.500 0.500 0.500
Pt2 0.000 0.000 0.500
Pt3 0.500 0.000 0.500
# E: -23.0 eV for the cell shown
# Total moment: 0.000 μB per cell
# D(E_F): 2.37 states/eV/cell

***

# Cu2NiAg PBE relaxed
data_Cu2NiAg
_symmetry_space_group_name_H-M 'P 1'
_symmetry_Int_Tables_number 1
_cell_length_a 4.510
_cell_length_b 4.510
_cell_length_c 4.510
_cell_angle_alpha 130.01
_cell_angle_beta 130.01
_cell_angle_gamma 73.39
loop_
_symmetry_equiv_pos_as_xyz
'x,y,z'
loop_
_atom_site_label
_atom_site_fract_x
_atom_site_fract_y
_atom_site_fract_z
Ag1 0.750 0.250 0.500
Cu1 0.000 0.000 0.000
Cu2 0.500 0.500 0.000
Ni1 0.250 0.750 0.500
# E: -16.3 eV for the cell shown
# Total moment: 0.000 μB per cell
# D(E_F): 1.82 states/eV/cell